First-principles (PBE+U) data for a relaxed Li2Mn5Si4O14 crystal, as listed in Alexandria via LeMat-Bulk.

Cell lengths 5.5559, 7.6589, 8.0470 Å; angles 113.34, 94.11, 103.85 degrees
Element x y z (fractional)
Li (0.2259, 0.1052, 0.4619)
Li (0.7741, 0.8948, 0.5381)
Mn (0.0000, 0.0000, 0.0000)
Mn (0.0934, 0.3714, 0.8254)
Mn (0.3673, 0.4227, 0.2966)
Mn (0.6327, 0.5773, 0.7034)
Mn (0.9066, 0.6286, 0.1746)
Si (0.2059, 0.7907, 0.6112)
Si (0.4927, 0.7836, 0.1387)
Si (0.5073, 0.2164, 0.8613)
Si (0.7941, 0.2093, 0.3888)
O (0.0303, 0.1889, 0.2744)
O (0.1188, 0.8263, 0.4316)
O (0.2035, 0.6738, 0.0244)
O (0.2980, 0.2410, 0.9997)
O (0.2996, 0.5935, 0.5679)
O (0.4271, 0.3105, 0.7209)
O (0.4699, 0.9755, 0.7407)
O (0.5301, 0.0245, 0.2593)
O (0.5729, 0.6895, 0.2791)
O (0.7004, 0.4065, 0.4321)
O (0.7020, 0.7590, 0.0003)
O (0.7965, 0.3262, 0.9756)
O (0.8812, 0.1737, 0.5684)
O (0.9697, 0.8111, 0.7256)

Properties
calculated density: 3.46 g/cm³
SG: P-1, No. 2
uncorrected energy: -189.43 eV/f.u.